# 1
CsBaMn2Br8 after structural relaxation. Source: Alexandria via LeMat-Bulk, functional PBE.

The structure in CIF format:
```
data_CsBaMn2Br8
_space_group_name_H-M_alt 'P 1'
_space_group_IT_number 1
_cell_length_a 7.187
_cell_length_b 7.187
_cell_length_c 10.844
_cell_angle_alpha 90.00
_cell_angle_beta 90.00
_cell_angle_gamma 120.00
loop_
_space_group_symop_operation_xyz
'x,y,z'
loop_
_atom_site_label
_atom_site_type_symbol
_atom_site_fract_x
_atom_site_fract_y
_atom_site_fract_z
Cs1 Cs 0.000 0.000 0.000
Ba1 Ba 0.000 0.000 0.500
Mn1 Mn 0.333 0.667 0.762
Mn2 Mn 0.667 0.333 0.238
Br1 Br 0.002 0.346 0.695
Br2 Br 0.333 0.667 0.982
Br3 Br 0.344 0.998 0.695
Br4 Br 0.346 0.344 0.305
Br5 Br 0.654 0.656 0.695
Br6 Br 0.656 0.002 0.305
Br7 Br 0.667 0.333 0.018
Br8 Br 0.998 0.654 0.305
```

Final energy in eV per cell: -49.224
Crystal system: trigonal
Space-group type: No. 147

---

# 2
Cs2BaMnBr6 after structural relaxation. Source: Alexandria via LeMat-Bulk, functional PBE.

The structure in CIF format:
```
data_Cs2BaMnBr6
_space_group_name_H-M_alt 'P 1'
_space_group_IT_number 1
_cell_length_a 8.046
_cell_length_b 8.046
_cell_length_c 7.833
_cell_angle_alpha 90.00
_cell_angle_beta 90.00
_cell_angle_gamma 120.00
loop_
_space_group_symop_operation_xyz
'x,y,z'
loop_
_atom_site_label
_atom_site_type_symbol
_atom_site_fract_x
_atom_site_fract_y
_atom_site_fract_z
Cs1 Cs 0.333 0.667 0.150
Cs2 Cs 0.667 0.333 0.850
Ba1 Ba 0.000 0.000 0.500
Mn1 Mn 0.000 0.000 0.000
Br1 Br 0.159 0.319 0.796
Br2 Br 0.159 0.841 0.796
Br3 Br 0.319 0.159 0.204
Br4 Br 0.681 0.841 0.796
Br5 Br 0.841 0.159 0.204
Br6 Br 0.841 0.681 0.204
```

Final energy in eV per cell: -38.795
Crystal system: trigonal
Space-group type: No. 164

---

# 3
Cs2BaMnBr6 after structural relaxation. Source: Alexandria via LeMat-Bulk, functional PBE.

The structure in CIF format:
```
data_Cs2BaMnBr6
_space_group_name_H-M_alt 'P 1'
_space_group_IT_number 1
_cell_length_a 8.286
_cell_length_b 8.286
_cell_length_c 8.286
_cell_angle_alpha 60.00
_cell_angle_beta 60.00
_cell_angle_gamma 60.00
loop_
_space_group_symop_operation_xyz
'x,y,z'
loop_
_atom_site_label
_atom_site_type_symbol
_atom_site_fract_x
_atom_site_fract_y
_atom_site_fract_z
Cs1 Cs 0.250 0.250 0.250
Cs2 Cs 0.750 0.750 0.750
Ba1 Ba 0.000 0.000 0.000
Mn1 Mn 0.500 0.500 0.500
Br1 Br 0.270 0.270 0.730
Br2 Br 0.270 0.730 0.270
Br3 Br 0.270 0.730 0.730
Br4 Br 0.730 0.270 0.270
Br5 Br 0.730 0.270 0.730
Br6 Br 0.730 0.730 0.270
```

Final energy in eV per cell: -38.796
Crystal system: cubic
Space-group type: No. 225

---

# 4
Cs3BaMn2Br9 after structural relaxation. Source: Alexandria via LeMat-Bulk, functional PBE.

The structure in CIF format:
```
data_Cs3BaMn2Br9
_space_group_name_H-M_alt 'P 1'
_space_group_IT_number 1
_cell_length_a 7.981
_cell_length_b 7.981
_cell_length_c 10.242
_cell_angle_alpha 90.00
_cell_angle_beta 90.00
_cell_angle_gamma 120.00
loop_
_space_group_symop_operation_xyz
'x,y,z'
loop_
_atom_site_label
_atom_site_type_symbol
_atom_site_fract_x
_atom_site_fract_y
_atom_site_fract_z
Cs1 Cs 0.000 0.000 0.000
Cs2 Cs 0.333 0.667 0.707
Cs3 Cs 0.667 0.333 0.293
Ba1 Ba 0.000 0.000 0.500
Mn1 Mn 0.333 0.667 0.153
Mn2 Mn 0.667 0.333 0.847
Br1 Br 0.000 0.500 0.000
Br2 Br 0.177 0.353 0.304
Br3 Br 0.177 0.823 0.304
Br4 Br 0.353 0.177 0.696
Br5 Br 0.500 0.000 0.000
Br6 Br 0.500 0.500 0.000
Br7 Br 0.647 0.823 0.304
Br8 Br 0.823 0.177 0.696
Br9 Br 0.823 0.647 0.696
```

Final energy in eV per cell: -59.704
Crystal system: trigonal
Space-group type: No. 164

---

# 5
Cs2BaMoBr6 after structural relaxation. Source: Alexandria via LeMat-Bulk, functional PBE.

The structure in CIF format:
```
data_Cs2BaMoBr6
_space_group_name_H-M_alt 'P 1'
_space_group_IT_number 1
_cell_length_a 8.183
_cell_length_b 8.183
_cell_length_c 8.183
_cell_angle_alpha 60.00
_cell_angle_beta 60.00
_cell_angle_gamma 60.00
loop_
_space_group_symop_operation_xyz
'x,y,z'
loop_
_atom_site_label
_atom_site_type_symbol
_atom_site_fract_x
_atom_site_fract_y
_atom_site_fract_z
Cs1 Cs 0.250 0.250 0.250
Cs2 Cs 0.750 0.750 0.750
Ba1 Ba 0.000 0.000 0.000
Mo1 Mo 0.500 0.500 0.500
Br1 Br 0.272 0.272 0.728
Br2 Br 0.272 0.728 0.272
Br3 Br 0.272 0.728 0.728
Br4 Br 0.728 0.272 0.272
Br5 Br 0.728 0.272 0.728
Br6 Br 0.728 0.728 0.272
```

Final energy in eV per cell: -37.650
Crystal system: cubic
Space-group type: No. 225

---

# 6
Cs2BaBr6N after structural relaxation. Source: Alexandria via LeMat-Bulk, functional PBE.

The structure in CIF format:
```
data_Cs2BaBr6N
_space_group_name_H-M_alt 'P 1'
_space_group_IT_number 1
_cell_length_a 8.759
_cell_length_b 8.759
_cell_length_c 8.759
_cell_angle_alpha 127.47
_cell_angle_beta 127.47
_cell_angle_gamma 77.49
loop_
_space_group_symop_operation_xyz
'x,y,z'
loop_
_atom_site_label
_atom_site_type_symbol
_atom_site_fract_x
_atom_site_fract_y
_atom_site_fract_z
Cs1 Cs 0.250 0.750 0.500
Cs2 Cs 0.750 0.250 0.500
Ba1 Ba 0.000 0.000 0.000
Br1 Br 0.230 0.230 0.000
Br2 Br 0.289 0.289 0.579
Br3 Br 0.289 0.711 0.000
Br4 Br 0.711 0.289 0.000
Br5 Br 0.711 0.711 0.421
Br6 Br 0.770 0.770 0.000
N1 N 0.500 0.500 0.000
```

Final energy in eV per cell: -30.611
Crystal system: tetragonal
Space-group type: No. 139

---

# 7
Cs2BaNiBr6 after structural relaxation. Source: Alexandria via LeMat-Bulk, functional PBE.

The structure in CIF format:
```
data_Cs2BaNiBr6
_space_group_name_H-M_alt 'P 1'
_space_group_IT_number 1
_cell_length_a 8.112
_cell_length_b 8.112
_cell_length_c 8.112
_cell_angle_alpha 60.00
_cell_angle_beta 60.00
_cell_angle_gamma 60.00
loop_
_space_group_symop_operation_xyz
'x,y,z'
loop_
_atom_site_label
_atom_site_type_symbol
_atom_site_fract_x
_atom_site_fract_y
_atom_site_fract_z
Cs1 Cs 0.250 0.250 0.250
Cs2 Cs 0.750 0.750 0.750
Ba1 Ba 0.000 0.000 0.000
Ni1 Ni 0.500 0.500 0.500
Br1 Br 0.275 0.275 0.725
Br2 Br 0.275 0.725 0.275
Br3 Br 0.275 0.725 0.725
Br4 Br 0.725 0.275 0.275
Br5 Br 0.725 0.275 0.725
Br6 Br 0.725 0.725 0.275
```

Final energy in eV per cell: -33.681
Crystal system: cubic
Space-group type: No. 225

---

# 8
CsBaNi2Br after structural relaxation. Source: Alexandria via LeMat-Bulk, functional PBE.

The structure in CIF format:
```
data_CsBaNi2Br
_space_group_name_H-M_alt 'P 1'
_space_group_IT_number 1
_cell_length_a 5.157
_cell_length_b 5.157
_cell_length_c 10.650
_cell_angle_alpha 90.00
_cell_angle_beta 90.00
_cell_angle_gamma 90.00
loop_
_space_group_symop_operation_xyz
'x,y,z'
loop_
_atom_site_label
_atom_site_type_symbol
_atom_site_fract_x
_atom_site_fract_y
_atom_site_fract_z
Cs1 Cs 0.000 0.000 0.000
Ba1 Ba 0.000 0.000 0.500
Ni1 Ni 0.000 0.500 0.500
Ni2 Ni 0.500 0.000 0.500
Br1 Br 0.500 0.500 0.000
```

Final energy in eV per cell: -13.260
Crystal system: tetragonal
Space-group type: No. 123

---

# 9
CsBaNpBr6 after structural relaxation. Source: Alexandria via LeMat-Bulk, functional PBE.

The structure in CIF format:
```
data_CsBaNpBr6
_space_group_name_H-M_alt 'P 1'
_space_group_IT_number 1
_cell_length_a 8.177
_cell_length_b 8.177
_cell_length_c 15.069
_cell_angle_alpha 90.00
_cell_angle_beta 90.00
_cell_angle_gamma 120.00
loop_
_space_group_symop_operation_xyz
'x,y,z'
loop_
_atom_site_label
_atom_site_type_symbol
_atom_site_fract_x
_atom_site_fract_y
_atom_site_fract_z
Cs1 Cs 0.000 0.000 0.000
Cs2 Cs 0.000 0.000 0.500
Ba1 Ba 0.333 0.667 0.250
Ba2 Ba 0.667 0.333 0.750
Np1 Np 0.333 0.667 0.750
Np2 Np 0.667 0.333 0.250
Br1 Br 0.031 0.388 0.639
Br2 Br 0.031 0.643 0.861
Br3 Br 0.357 0.388 0.861
Br4 Br 0.357 0.969 0.639
Br5 Br 0.388 0.031 0.139
Br6 Br 0.388 0.357 0.361
Br7 Br 0.612 0.643 0.639
Br8 Br 0.612 0.969 0.861
Br9 Br 0.643 0.031 0.361
Br10 Br 0.643 0.612 0.139
Br11 Br 0.969 0.357 0.139
Br12 Br 0.969 0.612 0.361
```

Final energy in eV per cell: -82.615
Crystal system: trigonal
Space-group type: No. 163